An optimized crystal structure of AcU2RhS5. Source: Alexandria via LeMat-Bulk, functional PBE.

crystal system = tetragonal
raw total energy = -0.55087 Ry per atom
energy relative to the elements, uncorrected = -137 kJ/mol of atoms
total magnetization = 8.0 μB/cell
ρ = 8.7 g/cm³
symmetry = I4/mcm

Unit cell a=8.434 b=8.434 c=8.434 alpha=127.41 beta=127.41 gamma=77.58
Fractional coordinates of all 18 atoms:
Ac 0.250 0.250 0.000
Ac 0.750 0.750 0.000
U 0.147 0.647 0.794
U 0.353 0.147 0.500
U 0.647 0.853 0.500
U 0.853 0.353 0.206
Rh 0.250 0.750 0.500
Rh 0.750 0.250 0.500
S 0.000 0.000 0.000
S 0.032 0.203 0.500
S 0.203 0.703 0.172
S 0.297 0.468 0.500
S 0.468 0.968 0.172
S 0.500 0.500 0.000
S 0.532 0.032 0.828
S 0.703 0.532 0.500
S 0.797 0.297 0.828
S 0.968 0.797 0.500


An optimized crystal structure of Ac2URhS6. Source: Alexandria via LeMat-Bulk, functional PBE.

crystal system = orthorhombic
raw total energy = -0.48216 Ry per atom
energy relative to the elements, uncorrected = -135 kJ/mol of atoms
total magnetization = 5.9 μB/cell
ρ = 6.7 g/cm³
symmetry = Pmmn

Unit cell a=6.778 b=10.017 c=7.245 alpha=90.00 beta=90.00 gamma=90.00
Fractional coordinates of all 20 atoms:
Ac 0.250 0.043 0.204
Ac 0.250 0.457 0.204
Ac 0.750 0.543 0.796
Ac 0.750 0.957 0.796
U 0.250 0.250 0.721
U 0.750 0.750 0.279
Rh 0.250 0.750 0.774
Rh 0.750 0.250 0.226
S 0.004 0.250 0.451
S 0.006 0.750 0.011
S 0.250 0.508 0.781
S 0.250 0.992 0.781
S 0.494 0.750 0.011
S 0.496 0.250 0.451
S 0.504 0.750 0.549
S 0.506 0.250 0.989
S 0.750 0.008 0.219
S 0.750 0.492 0.219
S 0.994 0.250 0.989
S 0.996 0.750 0.549


An optimized crystal structure of AcSb2Rh2. Source: Alexandria via LeMat-Bulk, functional PBE.

crystal system = tetragonal
raw total energy = -0.45999 Ry per atom
energy relative to the elements, uncorrected = -82 kJ/mol of atoms
total magnetization = 0.0 μB/cell
ρ = 9.8 g/cm³
symmetry = P4/nmm

Unit cell a=4.657 b=4.657 c=10.554 alpha=90.00 beta=90.00 gamma=90.00
Fractional coordinates of all 10 atoms:
Ac 0.250 0.250 0.246
Ac 0.750 0.750 0.754
Sb 0.250 0.250 0.872
Sb 0.250 0.750 0.500
Sb 0.750 0.250 0.500
Sb 0.750 0.750 0.128
Rh 0.250 0.250 0.622
Rh 0.250 0.750 0.000
Rh 0.750 0.250 0.000
Rh 0.750 0.750 0.378